# 1
Pr3Er2Th: relaxed, PBE.

Cell: 9.5452 13.2300 6.5683 Å, 90.00 90.00 90.00°
Space group Cmc2_1 (No. 36)
Asymmetric unit:
Pr (0.0000, 0.0918, 0.0000) x4
Pr (0.1759, 0.4252, 0.7393) x8
Er (0.1805, 0.3143, 0.2242) x8
Th (0.0000, 0.1696, 0.5213) x4

## Properties
The polymorph energy (0 for the lowest one) is 172 meV per atom.

***

# 2
Pr2Er2Th: relaxed, PBE.

Cell: 5.3687 17.2970 3.5449 Å, 90.00 90.00 90.00°
Space group Cmmm (No. 65)
Asymmetric unit:
Pr (0.0000, 0.1967, 0.0000) x4
Er (0.0000, 0.3994, 0.5000) x4
Th (0.0000, 0.0000, 0.0000) x2

## Properties
The polymorph energy (0 for the lowest one) is 44 meV per atom.

***

# 3
Pr2Er4Th: relaxed, PBE.

Cell: 5.6908 5.6908 17.0254 Å, 90.00 90.00 90.00°
Space group I4/mmm (No. 139)
Asymmetric unit:
Pr (0.0000, 0.0000, 0.1181) x4
Er (0.0000, 0.0000, 0.3214) x4
Er (0.0000, 0.5000, 0.0000) x4
Th (0.0000, 0.0000, 0.5000) x2

## Properties
The polymorph energy (0 for the lowest one) is 715 meV per atom.

***

# 4
Pr10Er6Th: relaxed, PBE.

Cell: 9.8572 9.8572 6.9976 Å, 90.00 90.00 120.00°
Space group P-31m (No. 162)
Asymmetric unit:
Pr (0.0000, 0.2794, 0.1739) x6
Pr (0.3333, 0.6667, 0.0000) x2
Pr (0.3333, 0.6667, 0.5000) x2
Er (0.0000, 0.3597, 0.6739) x6
Th (0.0000, 0.0000, 0.5000) x1

***

# 5
Pr5Er4Th: relaxed, PBE.

Cell: 18.3501 3.5856 10.6520 Å, 90.00 96.69 90.00°
Space group C2/m (No. 12)
Asymmetric unit:
Pr (0.0000, 0.0000, 0.0000) x2
Pr (0.1382, 0.5000, 0.7187) x4
Pr (0.1903, 0.5000, 0.1000) x4
Er (0.0474, 0.5000, 0.2633) x4
Er (0.1803, 0.0000, 0.4173) x4
Th (0.0000, 0.0000, 0.5000) x2

## Properties
The polymorph energy (0 for the lowest one) is 97 meV per atom.

***

# 6
Pr2Er2Th: relaxed, PBE.

Cell: 3.6121 3.6121 43.8106 Å, 90.00 90.00 120.00°
Space group R-3m (No. 166, hexagonal axes)
Asymmetric unit:
Pr (0.0000, 0.0000, 0.2014) x6
Er (0.0000, 0.0000, 0.3970) x6
Th (0.0000, 0.0000, 0.0000) x3

## Properties
The polymorph energy (0 for the lowest one) is 0 meV per atom.

***

These records have density values of 7.9 8.6 7.1 7.5 7.7 8.5 g cm⁻³, in the order they appear.
These records have energy of formation from the pure elements values of 0.222 0.061 0.746 0.147 0.141 0.017 eV/atom, in the order they appear.